No. 1
# LaIrF6

A relaxed LaIrF6 crystal (PBE, the Alexandria database).

Unit cell a=4.7491 b=4.7491 c=4.7479 alpha=96.38 beta=96.38 gamma=96.78
Closest atoms and distances in Å follow each position.
Fractional positions:
La: 0.0000 0.0000 0.0000  12 F 2.59-2.72
Ir: 0.5000 0.5000 0.5000  6 F 2.02
F: 0.1901 0.5515 0.1907  1 Ir 2.02
F: 0.1906 0.1906 0.5573  1 Ir 2.02
F: 0.4485 0.8099 0.8093  1 Ir 2.02
F: 0.5515 0.1901 0.1907  1 Ir 2.02
F: 0.8094 0.8094 0.4427  1 Ir 2.02
F: 0.8099 0.4485 0.8093  1 Ir 2.02

Calculated values
- Crystal system: monoclinic
- DOS at the Fermi energy: 0.00 states/eV/cell
- Total energy: -5.771 eV per atom

---

No. 2
# LaIr2F2

A relaxed LaIr2F2 crystal (PBE, the Alexandria database).

Unit cell a=6.1776 b=6.1776 c=6.1776 alpha=141.74 beta=141.74 gamma=55.22
Closest atoms and distances in Å follow each position.
Fractional positions:
La: 0.0000 0.0000 0.0000  8 Ir 3.08, 8 F 3.40
Ir: 0.3959 0.3959 0.0000  1 Ir 2.28
Ir: 0.6041 0.6041 0.0000  1 Ir 2.28
F: 0.2500 0.7500 0.5000  4 Ir 2.58, 4 F 2.86
F: 0.7500 0.2500 0.5000  4 Ir 2.58, 4 F 2.86

Calculated values
- Crystal system: tetragonal
- DOS at the Fermi energy: 5.30 states/eV/cell
- Energy relative to the lowest polymorph listed for this composition: 0.000 eV per atom

---

No. 3
# LaIrF3

A relaxed LaIrF3 crystal (PBE, the Alexandria database).

Unit cell a=4.7270 b=4.7270 c=4.7270 alpha=90.00 beta=90.00 gamma=90.00
Closest atoms and distances in Å follow each position.
Fractional positions:
La: 0.0000 0.0000 0.0000  6 F 2.36
Ir: 0.5000 0.5000 0.5000  12 F 3.34
F: 0.0000 0.0000 0.5000  2 La 2.36
F: 0.0000 0.5000 0.0000  2 La 2.36
F: 0.5000 0.0000 0.0000  2 La 2.36

Calculated values
- Crystal system: cubic
- DOS at the Fermi energy: 11.25 states/eV/cell
- Total energy: -5.755 eV per atom

---

No. 4
# LaIrF6

A relaxed LaIrF6 crystal (PBE, the Alexandria database).

Unit cell a=5.5081 b=5.5081 c=10.3150 alpha=90.00 beta=90.00 gamma=120.00
Closest atoms and distances in Å follow each position.
Fractional positions:
La: 0.3333 0.6667 0.2500  6 F 2.35
La: 0.6667 0.3333 0.7500  6 F 2.35
Ir: 0.0000 0.0000 0.0000  6 F 2.03
Ir: 0.0000 0.0000 0.5000  6 F 2.03
F: 0.0120 0.3024 0.1166  1 Ir 2.03
F: 0.0120 0.7096 0.3834  1 Ir 2.03
F: 0.2904 0.3024 0.3834  1 Ir 2.03
F: 0.2904 0.9880 0.1166  1 Ir 2.03
F: 0.3024 0.0120 0.6166  1 Ir 2.03
F: 0.3024 0.2904 0.8834  1 Ir 2.03
F: 0.6976 0.7096 0.1166  1 Ir 2.03
F: 0.6976 0.9880 0.3834  1 Ir 2.03
F: 0.7096 0.0120 0.8834  1 Ir 2.03
F: 0.7096 0.6976 0.6166  1 Ir 2.03
F: 0.9880 0.2904 0.6166  1 Ir 2.03
F: 0.9880 0.6976 0.8834  1 Ir 2.03

Calculated values
- Crystal system: trigonal
- DOS at the Fermi energy: 0.00 states/eV/cell
- Total energy: -5.817 eV per atom

---

No. 5
# LaIr2F

A relaxed LaIr2F crystal (PBE, the Alexandria database).

Unit cell a=11.6674 b=11.6674 c=11.6674 alpha=162.20 beta=162.20 gamma=25.28
Closest atoms and distances in Å follow each position.
Fractional positions:
La: 0.0000 0.0000 0.0000  4 F 2.55
La: 0.7500 0.2500 0.5000  4 F 2.55
Ir: 0.1283 0.1250 0.5033  4 Ir 2.54-2.57
Ir: 0.3750 0.8717 0.9967  4 Ir 2.54-2.57
Ir: 0.6217 0.6250 0.4967  4 Ir 2.54-2.57
Ir: 0.8750 0.3783 0.0033  4 Ir 2.54-2.57
F: 0.2500 0.7500 0.5000  4 La 2.55
F: 0.5000 0.5000 0.0000  4 La 2.55

Calculated values
- Crystal system: tetragonal
- DOS at the Fermi energy: 7.60 states/eV/cell
- Energy relative to the lowest polymorph listed for this composition: 0.000 eV per atom

---

No. 6
# La2IrF

A relaxed La2IrF crystal (PBE, the Alexandria database).

Unit cell a=9.2923 b=9.2923 c=9.2923 alpha=106.63 beta=106.63 gamma=106.63
Closest atoms and distances in Å follow each position.
Fractional positions:
La: 0.0289 0.3547 0.1162  2 F 2.54-2.61, 1 Ir 2.81
La: 0.1162 0.0289 0.3547  2 F 2.54-2.61, 1 Ir 2.81
La: 0.1782 0.7493 0.5910  1 F 2.49
La: 0.2507 0.4090 0.8218  1 F 2.49
La: 0.3547 0.1162 0.0289  2 F 2.54-2.61, 1 Ir 2.81
La: 0.4090 0.8218 0.2507  1 F 2.49
La: 0.5910 0.1782 0.7493  1 F 2.49
La: 0.6453 0.8838 0.9711  2 F 2.54-2.61, 1 Ir 2.81
La: 0.7493 0.5910 0.1782  1 F 2.49
La: 0.8218 0.2507 0.4090  1 F 2.49
La: 0.8838 0.9711 0.6453  2 F 2.54-2.61, 1 Ir 2.81
La: 0.9711 0.6453 0.8838  2 F 2.54-2.61, 1 Ir 2.81
Ir: 0.0892 0.6892 0.2454  6 La 2.81-3.08
Ir: 0.2454 0.0892 0.6892  6 La 2.81-3.08
Ir: 0.3108 0.7546 0.9108  6 La 2.81-3.08
Ir: 0.6892 0.2454 0.0892  6 La 2.81-3.08
Ir: 0.7546 0.9108 0.3108  6 La 2.81-3.08
Ir: 0.9108 0.3108 0.7546  6 La 2.81-3.08
F: 0.0890 0.2991 0.3826  3 La 2.49-2.61
F: 0.2991 0.3826 0.0890  3 La 2.49-2.61
F: 0.3826 0.0890 0.2991  3 La 2.49-2.61
F: 0.6174 0.9110 0.7009  3 La 2.49-2.61
F: 0.7009 0.6174 0.9110  3 La 2.49-2.61
F: 0.9110 0.7009 0.6174  3 La 2.49-2.61

Calculated values
- Crystal system: trigonal
- DOS at the Fermi energy: 13.64 states/eV/cell
- Energy relative to the lowest polymorph listed for this composition: 0.000 eV per atom

---

No. 7
# La2IrF

A relaxed La2IrF crystal (PBE, the Alexandria database).

Unit cell a=4.9848 b=4.9848 c=4.9848 alpha=60.00 beta=60.00 gamma=60.00
Closest atoms and distances in Å follow each position.
Fractional positions:
La: 0.2500 0.2500 0.2500  4 F 3.05, 4 Ir 3.05
La: 0.7500 0.7500 0.7500  4 F 3.05, 4 Ir 3.05
Ir: 0.0000 0.0000 0.0000  8 La 3.05
F: 0.5000 0.5000 0.5000  8 La 3.05

Calculated values
- Crystal system: cubic
- DOS at the Fermi energy: 3.88 states/eV/cell
- Energy relative to the lowest polymorph listed for this composition: 0.335 eV per atom

---

No. 8
# LaIr3F

A relaxed LaIr3F crystal (PBE, the Alexandria database).

Unit cell a=5.0580 b=5.0580 c=5.0580 alpha=90.00 beta=90.00 gamma=90.00
Closest atoms and distances in Å follow each position.
Fractional positions:
La: 0.0000 0.0000 0.0000  6 Ir 2.53
Ir: 0.0000 0.0000 0.5000  2 La 2.53
Ir: 0.0000 0.5000 0.0000  2 La 2.53
Ir: 0.5000 0.0000 0.0000  2 La 2.53
F: 0.5000 0.5000 0.5000  12 Ir 3.58

Calculated values
- Crystal system: cubic
- DOS at the Fermi energy: 9.92 states/eV/cell
- Energy relative to the lowest polymorph listed for this composition: 1.609 eV per atom

---

No. 9
# LaIr2F2

A relaxed LaIr2F2 crystal (PBE, the Alexandria database).

Unit cell a=7.4473 b=7.4473 c=3.0719 alpha=90.00 beta=90.00 gamma=90.00
Closest atoms and distances in Å follow each position.
Fractional positions:
La: 0.0000 0.0000 0.0000  4 Ir 3.02, 8 F 3.06, 2 La 3.07
La: 0.5000 0.5000 0.0000  4 Ir 3.02, 8 F 3.06, 2 La 3.07
Ir: 0.1091 0.3909 0.0000  2 F 2.28, 1 Ir 2.30
Ir: 0.3909 0.8909 0.0000  2 F 2.28, 1 Ir 2.30
Ir: 0.6091 0.1091 0.0000  2 F 2.28, 1 Ir 2.30
Ir: 0.8909 0.6091 0.0000  2 F 2.28, 1 Ir 2.30
F: 0.2303 0.7303 0.5000  2 Ir 2.28
F: 0.2697 0.2303 0.5000  2 Ir 2.28
F: 0.7303 0.7697 0.5000  2 Ir 2.28
F: 0.7697 0.2697 0.5000  2 Ir 2.28

Calculated values
- Crystal system: tetragonal
- DOS at the Fermi energy: 5.04 states/eV/cell
- Energy relative to the lowest polymorph listed for this composition: 0.317 eV per atom

---

No. 10
# LaIr3F

A relaxed LaIr3F crystal (PBE, the Alexandria database).

Unit cell a=4.4608 b=4.4608 c=4.4608 alpha=90.00 beta=90.00 gamma=90.00
Closest atoms and distances in Å follow each position.
Fractional positions:
La: 0.0000 0.0000 0.0000  12 Ir 3.15
Ir: 0.0000 0.5000 0.5000  2 F 2.23
Ir: 0.5000 0.0000 0.5000  2 F 2.23
Ir: 0.5000 0.5000 0.0000  2 F 2.23
F: 0.5000 0.5000 0.5000  6 Ir 2.23

Calculated values
- Crystal system: cubic
- DOS at the Fermi energy: 6.04 states/eV/cell
- Energy relative to the lowest polymorph listed for this composition: 0.000 eV per atom

---

No. 11
# La2IrF

A relaxed La2IrF crystal (PBE, the Alexandria database).

Unit cell a=8.3956 b=8.3956 c=8.3956 alpha=28.43 beta=28.43 gamma=28.43
Closest atoms and distances in Å follow each position.
Fractional positions:
La: 0.0000 0.0000 0.0000  3 F 2.61
La: 0.1997 0.1997 0.1997  3 Ir 2.80
Ir: 0.5940 0.5940 0.5940  6 La 2.80-2.96
F: 0.3780 0.3780 0.3780  3 La 2.61

Calculated values
- Crystal system: trigonal
- DOS at the Fermi energy: 1.33 states/eV/cell
- Energy relative to the lowest polymorph listed for this composition: 0.079 eV per atom

---

No. 12
# La2IrF

A relaxed La2IrF crystal (PBE, the Alexandria database).

Unit cell a=7.7842 b=7.7842 c=7.7842 alpha=135.65 beta=135.65 gamma=64.52
Closest atoms and distances in Å follow each position.
Fractional positions:
La: 0.1000 0.6250 0.9750  2 F 2.57, 2 Ir 2.73
La: 0.3750 0.3500 0.4750  2 F 2.57, 2 Ir 2.73
La: 0.6500 0.1250 0.0250  2 F 2.57, 2 Ir 2.73
La: 0.8750 0.9000 0.5250  2 F 2.57, 2 Ir 2.73
Ir: 0.2500 0.7500 0.5000  4 La 2.73
Ir: 0.5000 0.5000 0.0000  4 La 2.73
F: 0.0000 0.0000 0.0000  4 La 2.57
F: 0.7500 0.2500 0.5000  4 La 2.57

Calculated values
- Crystal system: tetragonal
- DOS at the Fermi energy: 6.71 states/eV/cell
- Energy relative to the lowest polymorph listed for this composition: 0.244 eV per atom

---

No. 13
# La2IrF

A relaxed La2IrF crystal (PBE, the Alexandria database).

Unit cell a=6.9112 b=6.9112 c=6.9112 alpha=34.89 beta=34.89 gamma=34.89
Closest atoms and distances in Å follow each position.
Fractional positions:
La: 0.2485 0.2485 0.2485  3 Ir 2.87, 3 F 2.91
La: 0.7515 0.7515 0.7515  3 Ir 2.87, 3 F 2.91
Ir: 0.5000 0.5000 0.5000  6 La 2.87
F: 0.0000 0.0000 0.0000  6 La 2.91

Calculated values
- Crystal system: trigonal
- DOS at the Fermi energy: 1.88 states/eV/cell
- Energy relative to the lowest polymorph listed for this composition: 0.026 eV per atom

---

No. 14
# LiLa2IrF

A relaxed LiLa2IrF crystal (PBE, the Alexandria database).

Unit cell a=5.1296 b=5.1296 c=3.8519 alpha=90.00 beta=90.00 gamma=90.00
Closest atoms and distances in Å follow each position.
Fractional positions:
Li: 0.0000 0.0000 0.0000  2 F 1.93
La: 0.0000 0.5000 0.5000  2 F 2.56
La: 0.5000 0.0000 0.5000  2 F 2.56
Ir: 0.5000 0.5000 0.0000  8 La 3.21
F: 0.0000 0.0000 0.5000  2 Li 1.93

Calculated values
- Crystal system: tetragonal
- DOS at the Fermi energy: 4.43 states/eV/cell
- Total energy: -5.790 eV per atom

---

No. 15
# LaIrN2F

A relaxed LaIrN2F crystal (PBE, the Alexandria database).

Unit cell a=4.5407 b=4.5407 c=4.4085 alpha=90.00 beta=90.00 gamma=90.00
Closest atoms and distances in Å follow each position.
Fractional positions:
La: 0.0000 0.0000 0.0000  2 F 2.20, 4 N 2.27
Ir: 0.5000 0.5000 0.5000  8 N 3.16, 4 F 3.21
N: 0.0000 0.5000 0.0000  2 La 2.27
N: 0.5000 0.0000 0.0000  2 La 2.27
F: 0.0000 0.0000 0.5000  2 La 2.20

Calculated values
- Crystal system: tetragonal
- DOS at the Fermi energy: 5.30 states/eV/cell
- Energy relative to the lowest polymorph listed for this composition: 1.585 eV per atom

---

No. 16
# LaIrN2F

A relaxed LaIrN2F crystal (PBE, the Alexandria database).

Unit cell a=3.9275 b=3.9275 c=4.4630 alpha=90.00 beta=90.00 gamma=90.00
Closest atoms and distances in Å follow each position.
Fractional positions:
La: 0.0000 0.0000 0.0000  4 F 2.78, 8 N 2.97
Ir: 0.5000 0.5000 0.5000  4 N 1.96
N: 0.0000 0.5000 0.5000  2 Ir 1.96
N: 0.5000 0.0000 0.5000  2 Ir 1.96
F: 0.5000 0.5000 0.0000  2 Ir 2.23

Calculated values
- Crystal system: tetragonal
- DOS at the Fermi energy: 3.61 states/eV/cell
- Energy relative to the lowest polymorph listed for this composition: 0.000 eV per atom